(1)
## PPbO3 (GGA-PBE)

Data for PPbO3 after structural relaxation.

Calculated values
Total energy in eV/cell: -65.9

Geometry as CIF:
```
data_PPbO3
_symmetry_space_group_name_H-M 'P -1'
_symmetry_Int_Tables_number 2
_cell_length_a 5.339
_cell_length_b 6.066
_cell_length_c 6.536
_cell_angle_alpha 99.56
_cell_angle_beta 109.71
_cell_angle_gamma 105.42
loop_
_symmetry_equiv_pos_as_xyz
'x,y,z'
'-x,-y,-z'
loop_
_atom_site_label
_atom_site_type_symbol
_atom_site_fract_x
_atom_site_fract_y
_atom_site_fract_z
P1 P 0.089 0.155 0.146
Pb1 Pb 0.478 0.199 0.787
O1 O 0.175 0.803 0.829
O2 O 0.264 0.077 0.345
O3 O 0.268 0.358 0.085
```

***

(2)
## Sm12Tl6Co (GGA-PBE)

Data for Sm12Tl6Co after structural relaxation.

Calculated values
Total energy in eV/cell: -242.6

Geometry as CIF:
```
data_Sm12Tl6Co
_symmetry_space_group_name_H-M 'R -3'
_symmetry_Int_Tables_number 148
_symmetry_space_group_name_Hall '-R 3'
_cell_length_a 12.3842
_cell_length_b 12.3842
_cell_length_c 13.5073
_cell_angle_alpha 90.00
_cell_angle_beta 90.00
_cell_angle_gamma 120.00
loop_
_atom_site_label
_atom_site_type_symbol
_atom_site_fract_x
_atom_site_fract_y
_atom_site_fract_z
Sm1 Sm 0.0347 0.8470 0.3889
Sm2 Sm 0.0401 0.1869 0.8779
Tl1 Tl 0.0069 0.6083 0.2592
Co1 Co 0.0000 0.0000 0.0000
```

***

(3)
## MnBeIr2 (GGA-PBE)

Data for MnBeIr2 after structural relaxation.

Calculated values
Total energy in eV/cell: -62.9

Geometry as CIF:
```
data_MnBeIr2
_symmetry_space_group_name_H-M 'I m m 2'
_symmetry_Int_Tables_number 44
_cell_length_a 2.868
_cell_length_b 4.104
_cell_length_c 8.404
_cell_angle_alpha 90.00
_cell_angle_beta 90.00
_cell_angle_gamma 90.00
loop_
_symmetry_equiv_pos_as_xyz
'x,y,z'
'-x,-y,z'
'-x,y,z'
'x,-y,z'
'x+1/2,y+1/2,z+1/2'
'-x+1/2,-y+1/2,z+1/2'
'-x+1/2,y+1/2,z+1/2'
'x+1/2,-y+1/2,z+1/2'
loop_
_atom_site_label
_atom_site_type_symbol
_atom_site_fract_x
_atom_site_fract_y
_atom_site_fract_z
Mn1 Mn 0.000 0.000 0.000
Be1 Be 0.000 0.500 0.733
Ir1 Ir 0.000 0.000 0.458
Ir2 Ir 0.000 0.500 0.235
```

***

(4)
## PrDyHoGa (GGA-PBE)

Data for PrDyHoGa after structural relaxation.

Calculated values
Total energy in eV/cell: -69.3

Geometry as CIF:
```
data_PrDyHoGa
_symmetry_space_group_name_H-M 'F -4 3 m'
_symmetry_Int_Tables_number 216
_symmetry_space_group_name_Hall 'F -4 2 3'
_cell_length_a 7.619
_cell_length_b 7.619
_cell_length_c 7.619
_cell_angle_alpha 90.00
_cell_angle_beta 90.00
_cell_angle_gamma 90.00
loop_
_atom_site_label
_atom_site_type_symbol
_atom_site_fract_x
_atom_site_fract_y
_atom_site_fract_z
Pr1 Pr 0.000 0.000 0.000
Dy1 Dy 0.000 0.000 0.500
Ho1 Ho 0.250 0.250 0.250
Ga1 Ga 0.250 0.250 0.750
```

***

Which formula does entry 2 have? Sm12Tl6Co

***

What is the formula in the third record? MnBeIr2

***

Copy entry 4 word for word.
## PrDyHoGa (GGA-PBE)

Data for PrDyHoGa after structural relaxation.

Calculated values
Total energy in eV/cell: -69.3

Geometry as CIF:
```
data_PrDyHoGa
_symmetry_space_group_name_H-M 'F -4 3 m'
_symmetry_Int_Tables_number 216
_symmetry_space_group_name_Hall 'F -4 2 3'
_cell_length_a 7.619
_cell_length_b 7.619
_cell_length_c 7.619
_cell_angle_alpha 90.00
_cell_angle_beta 90.00
_cell_angle_gamma 90.00
loop_
_atom_site_label
_atom_site_type_symbol
_atom_site_fract_x
_atom_site_fract_y
_atom_site_fract_z
Pr1 Pr 0.000 0.000 0.000
Dy1 Dy 0.000 0.000 0.500
Ho1 Ho 0.250 0.250 0.250
Ga1 Ga 0.250 0.250 0.750
```

***

Please write out number 3 again, unchanged.
## MnBeIr2 (GGA-PBE)

Data for MnBeIr2 after structural relaxation.

Calculated values
Total energy in eV/cell: -62.9

Geometry as CIF:
```
data_MnBeIr2
_symmetry_space_group_name_H-M 'I m m 2'
_symmetry_Int_Tables_number 44
_cell_length_a 2.868
_cell_length_b 4.104
_cell_length_c 8.404
_cell_angle_alpha 90.00
_cell_angle_beta 90.00
_cell_angle_gamma 90.00
loop_
_symmetry_equiv_pos_as_xyz
'x,y,z'
'-x,-y,z'
'-x,y,z'
'x,-y,z'
'x+1/2,y+1/2,z+1/2'
'-x+1/2,-y+1/2,z+1/2'
'-x+1/2,y+1/2,z+1/2'
'x+1/2,-y+1/2,z+1/2'
loop_
_atom_site_label
_atom_site_type_symbol
_atom_site_fract_x
_atom_site_fract_y
_atom_site_fract_z
Mn1 Mn 0.000 0.000 0.000
Be1 Be 0.000 0.500 0.733
Ir1 Ir 0.000 0.000 0.458
Ir2 Ir 0.000 0.500 0.235
```